This record from the Alexandria database describes a relaxed Tb6CeDy10 crystal. The functional is GGA-PBE.

Lattice parameters (Å, degrees): 9.6294 9.6294 6.8151 90.00 90.00 120.00
Fractional positions:
Tb (0.0000, 0.3782, 0.2999)
Tb (0.0000, 0.6218, 0.7001)
Tb (0.3782, 0.0000, 0.2999)
Tb (0.3782, 0.3782, 0.7001)
Tb (0.6218, 0.0000, 0.7001)
Tb (0.6218, 0.6218, 0.2999)
Ce (0.0000, 0.0000, 0.5000)
Dy (0.0000, 0.2724, 0.8151)
Dy (0.0000, 0.7276, 0.1849)
Dy (0.2724, 0.0000, 0.8151)
Dy (0.2724, 0.2724, 0.1849)
Dy (0.3333, 0.6667, 0.0000)
Dy (0.3333, 0.6667, 0.5000)
Dy (0.6667, 0.3333, 0.0000)
Dy (0.6667, 0.3333, 0.5000)
Dy (0.7276, 0.0000, 0.1849)
Dy (0.7276, 0.7276, 0.8151)

Calculated values
E_form	147	meV per atom
SG	P-31m (162)

=====

This record from the Alexandria database describes a relaxed CdRuRh crystal. The functional is GGA-PBE.

Lattice parameters (Å, degrees): 4.4857 4.4857 2.7866 90.00 90.00 120.00
Fractional positions:
Cd (0.0000, 0.0000, 0.0000)
Ru (0.6667, 0.3333, 0.5000)
Rh (0.3333, 0.6667, 0.5000)

Calculated values
E_form	284	meV per atom
SG	P-6m2 (187)

=====

This record from the Alexandria database describes a relaxed CaFe2Pb crystal. The functional is GGA-PBE.

Lattice parameters (Å, degrees): 6.2536 6.2536 6.2536 102.93 102.93 123.54
Fractional positions:
Ca (0.0000, 0.0000, 0.0000)
Ca (0.7500, 0.2500, 0.5000)
Fe (0.1520, 0.6250, 0.0270)
Fe (0.3750, 0.4020, 0.5270)
Fe (0.5980, 0.1250, 0.9730)
Fe (0.8750, 0.8480, 0.4730)
Pb (0.2500, 0.7500, 0.5000)
Pb (0.5000, 0.5000, 0.0000)

Calculated values
E_form	762	meV per atom
SG	I-42d (122)

=====

This record from the Alexandria database describes a relaxed TaFe2Ni crystal. The functional is GGA-PBE.

Lattice parameters (Å, degrees): 3.1081 3.1081 5.3734 90.00 90.00 90.00
Fractional positions:
Ta (0.0000, 0.0000, 0.0000)
Fe (0.0000, 0.0000, 0.4982)
Fe (0.5000, 0.5000, 0.2621)
Ni (0.5000, 0.5000, 0.7380)

Calculated values
E_form	-63	meV per atom
SG	P4mm (99)

=====

This record from the Alexandria database describes a relaxed MoPb2 crystal. The functional is GGA-PBE.

Lattice parameters (Å, degrees): 3.1039 3.1039 8.4898 97.80 97.53 105.05
Fractional positions:
Mo (0.0000, 0.0000, 0.0000)
Pb (0.3581, 0.3705, 0.7241)
Pb (0.6419, 0.6295, 0.2759)

Calculated values
E_form	596	meV per atom
SG	P-1 (2)

=====

This record from the Alexandria database describes a relaxed TbTmPt crystal. The functional is GGA-PBE.

Lattice parameters (Å, degrees): 4.5959 4.5959 4.2112 90.00 90.00 120.00
Fractional positions:
Tb (0.0000, 0.0000, 0.0000)
Tm (0.6667, 0.3333, 0.4877)
Pt (0.3333, 0.6667, 0.7137)

Calculated values
E_form	-692	meV per atom
SG	P3m1 (156)

=====

This record from the Alexandria database describes a relaxed Co2ReAu crystal. The functional is GGA-PBE.

Lattice parameters (Å, degrees): 2.6955 2.6955 7.5351 90.00 90.00 90.00
Fractional positions:
Co (0.0000, 0.0000, 0.0000)
Co (0.5000, 0.5000, 0.2086)
Re (0.0000, 0.0000, 0.4378)
Au (0.5000, 0.5000, 0.7325)

Calculated values
E_form	271	meV per atom
SG	P4mm (99)

=====

This record from the Alexandria database describes a relaxed La5Nd2DyEr crystal. The functional is GGA-PBE.

Lattice parameters (Å, degrees): 10.6032 10.6032 10.6032 131.81 131.81 70.53
Fractional positions:
La (0.0000, 0.0000, 0.0000)
La (0.0768, 0.5768, 0.9413)
La (0.1355, 0.0768, 0.5000)
La (0.3645, 0.8645, 0.9413)
La (0.4232, 0.3645, 0.5000)
La (0.5000, 0.5000, 0.0000)
La (0.5768, 0.6355, 0.5000)
La (0.6355, 0.1355, 0.0587)
La (0.8645, 0.9232, 0.5000)
La (0.9232, 0.4232, 0.0587)
Nd (0.1235, 0.3765, 0.5000)
Nd (0.3765, 0.8765, 0.2529)
Nd (0.6235, 0.1235, 0.7471)
Nd (0.8765, 0.6235, 0.5000)
Dy (0.2500, 0.2500, 0.0000)
Dy (0.7500, 0.7500, 0.0000)
Er (0.2500, 0.7500, 0.5000)
Er (0.7500, 0.2500, 0.5000)

Calculated values
E_form	268	meV per atom
SG	I4/mcm (140)

=====

This record from the Alexandria database describes a relaxed LiAl2Cu6 crystal. The functional is GGA-PBE.

Lattice parameters (Å, degrees): 6.9968 6.9968 2.6085 100.25 100.25 67.38
Fractional positions:
Li (0.0000, 0.0000, 0.0000)
Al (0.3412, 0.3412, 0.8466)
Al (0.6588, 0.6588, 0.1534)
Cu (0.0095, 0.3395, 0.1811)
Cu (0.3170, 0.6830, 0.5000)
Cu (0.3395, 0.0095, 0.1811)
Cu (0.6605, 0.9905, 0.8189)
Cu (0.6830, 0.3170, 0.5000)
Cu (0.9905, 0.6605, 0.8189)

Calculated values
E_form	-102	meV per atom
SG	C2/m (12)

=====

This record from the Alexandria database describes a relaxed Li3LaMn crystal. The functional is GGA-PBE.

Lattice parameters (Å, degrees): 4.9181 4.9181 4.9181 90.00 90.00 90.00
Fractional positions:
Li (0.0000, 0.0000, 0.5000)
Li (0.0000, 0.5000, 0.0000)
Li (0.5000, 0.0000, 0.0000)
La (0.5000, 0.5000, 0.5000)
Mn (0.0000, 0.0000, 0.0000)

Calculated values
E_form	495	meV per atom
SG	Pm-3m (221)

=====

This record from the Alexandria database describes a relaxed SrPa3H4O12 crystal. The functional is GGA-PBE.

Lattice parameters (Å, degrees): 6.5855 6.5855 6.5855 102.53 102.53 102.53
Fractional positions:
Sr (0.0000, 0.0000, 0.0000)
Pa (0.0000, 0.5435, 0.4565)
Pa (0.4565, 0.0000, 0.5435)
Pa (0.5435, 0.4565, 0.0000)
H (0.1126, 0.5000, 0.8874)
H (0.5000, 0.5000, 0.5000)
H (0.5000, 0.8874, 0.1126)
H (0.8874, 0.1126, 0.5000)
O (0.0298, 0.6137, 0.7895)
O (0.1145, 0.8855, 0.5000)
O (0.2105, 0.3863, 0.9702)
O (0.3627, 0.6373, 0.5000)
O (0.3863, 0.9702, 0.2105)
O (0.5000, 0.1145, 0.8855)
O (0.5000, 0.3627, 0.6373)
O (0.6137, 0.7895, 0.0298)
O (0.6373, 0.5000, 0.3627)
O (0.7895, 0.0298, 0.6137)
O (0.8855, 0.5000, 0.1145)
O (0.9702, 0.2105, 0.3863)

Calculated values
total energy	-7.317	eV per atom
SG	R32 (155)

=====

This record from the Alexandria database describes a relaxed Pm3NpO6F2 crystal. The functional is GGA-PBE.

Lattice parameters (Å, degrees): 6.9969 6.9969 4.8213 92.67 92.67 59.15
Fractional positions:
Pm (0.0000, 0.0000, 0.0000)
Pm (0.0000, 0.5000, 0.5000)
Pm (0.5000, 0.0000, 0.5000)
Np (0.5000, 0.5000, 0.5000)
O (0.1831, 0.6668, 0.7217)
O (0.3332, 0.8169, 0.2783)
O (0.3395, 0.3395, 0.2977)
O (0.6605, 0.6605, 0.7023)
O (0.6668, 0.1831, 0.7217)
O (0.8169, 0.3332, 0.2783)
F (0.1709, 0.1709, 0.7658)
F (0.8291, 0.8291, 0.2342)

Calculated values
E_form (uncorrected)	-3.263	eV per atom
SG	C2/m (12)